Record 1
La3TiPd | GGA-PBEsol | optimized geometry

Calculated values
The energy of formation from the pure elements is 0.33 eV per atom. The total DFT energy (no corrections) comes out at -0.21065 hartree per atom. For the magnetization, the calculation gives 3.47 μB per cell.

a b c (Å): 5.556 5.556 5.556
angles (deg): 90.00 90.00 90.00
Element x y z (fractional)
La (0.000, 0.000, 0.500)
La (0.000, 0.500, 0.000)
La (0.500, 0.000, 0.000)
Ti (0.500, 0.500, 0.500)
Pd (0.000, 0.000, 0.000)

=====

Record 2
Li3PrSb2 | GGA-PBEsol | optimized geometry

Calculated values
The total DFT energy (no corrections) comes out at -0.15542 hartree per atom. For the magnetization, the calculation gives 0.00 μB per cell.

a b c (Å): 4.560 4.560 7.257
angles (deg): 90.00 90.00 120.00
Element x y z (fractional)
Li (0.000, 0.000, 0.000)
Li (0.333, 0.667, 0.148)
Li (0.667, 0.333, 0.852)
Pr (0.000, 0.000, 0.500)
Sb (0.333, 0.667, 0.757)
Sb (0.667, 0.333, 0.243)

=====

Q: Which of these has the lowest total DFT energy (no corrections)?
A: La3TiPd